Entry from the Alexandria database: In2TcRu at its PBEsol-relaxed geometry (SCAN).

a = 4.0310 Å, b = 4.0310 Å, c = 8.1615 Å
α = 90.00°, β = 90.00°, γ = 90.00°
With the nearest neighbours (Å) after each atom.
Space group I-4m2 (No. 119)
One atom of each set of equivalent atoms:
In (0.0000, 0.0000, 0.0000) (multiplicity 2)  4 Ru 2.85, 4 In 2.87, 4 Tc 2.87
In (0.0000, 0.5000, 0.2500) (multiplicity 2)  4 Tc 2.85, 4 In 2.87, 4 Ru 2.87
Tc (0.0000, 0.5000, 0.7500) (multiplicity 2)  8 In 2.85-2.87, 4 Ru 2.87
Ru (0.0000, 0.0000, 0.5000) (multiplicity 2)  8 In 2.85-2.87, 4 Tc 2.87

Results
As for the energy relative to the elements: 1.634 eV per formula unit.

***

Entry from the Alexandria database: InTc2Ru at its PBEsol-relaxed geometry (SCAN).

a = 6.2240 Å, b = 6.2240 Å, c = 6.2240 Å
α = 90.00°, β = 90.00°, γ = 90.00°
With the nearest neighbours (Å) after each atom.
Space group F-43m (No. 216)
One atom of each set of equivalent atoms:
In (0.0000, 0.0000, 0.0000) (multiplicity 4)  4 Tc 2.70, 4 Ru 2.70
Tc (0.0000, 0.0000, 0.5000) (multiplicity 4)  4 Tc 2.70, 4 Ru 2.70
Tc (0.2500, 0.2500, 0.7500) (multiplicity 4)  4 In 2.70, 4 Tc 2.70
Ru (0.2500, 0.2500, 0.2500) (multiplicity 4)  4 In 2.70, 4 Tc 2.70

Results
As for the energy relative to the elements: 1.131 eV per formula unit.

***

Entry from the Alexandria database: InTcRu2 at its PBEsol-relaxed geometry (SCAN).

a = 6.2222 Å, b = 6.2222 Å, c = 6.2222 Å
α = 90.00°, β = 90.00°, γ = 90.00°
With the nearest neighbours (Å) after each atom.
Space group Fm-3m (No. 225)
One atom of each set of equivalent atoms:
In (0.0000, 0.0000, 0.0000) (multiplicity 4)  8 Ru 2.69
Tc (0.0000, 0.0000, 0.5000) (multiplicity 4)  8 Ru 2.69
Ru (0.2500, 0.2500, 0.2500) (multiplicity 8)  4 Tc 2.69, 4 In 2.69

Results
As for the energy relative to the elements: 0.789 eV per formula unit.

***

Entry from the Alexandria database: InTcRu2 at its PBEsol-relaxed geometry (SCAN).

a = 2.7962 Å, b = 2.7962 Å, c = 7.6598 Å
α = 90.00°, β = 90.00°, γ = 90.00°
With the nearest neighbours (Å) after each atom.
Space group P4mm (No. 99)
One atom of each set of equivalent atoms:
In (0.0000, 0.0000, 0.0000) (multiplicity 1)  4 In 2.80, 4 Ru 2.84, 4 Tc 2.91
Tc (0.5000, 0.5000, 0.7218) (multiplicity 1)  4 Ru 2.62, 4 Tc 2.80, 4 In 2.91
Ru (0.0000, 0.0000, 0.4966) (multiplicity 1)  4 Tc 2.62, 8 Ru 2.65-2.80
Ru (0.5000, 0.5000, 0.2660) (multiplicity 1)  8 Ru 2.65-2.80, 4 In 2.84

Results
As for the energy relative to the elements: 0.901 eV per formula unit.

***

Entry from the Alexandria database: InTe2Ru at its PBEsol-relaxed geometry (SCAN).

a = 3.1423 Å, b = 3.1423 Å, c = 9.3078 Å
α = 90.00°, β = 90.00°, γ = 90.00°
With the nearest neighbours (Å) after each atom.
Space group P4mm (No. 99)
One atom of each set of equivalent atoms:
In (0.0000, 0.0000, 0.0000) (multiplicity 1)  4 Ru 2.94, 4 In 3.14
Te (0.0000, 0.0000, 0.3661) (multiplicity 1)  4 Ru 2.67
Te (0.5000, 0.5000, 0.7133) (multiplicity 1)  4 Te 3.14, 4 In 3.47
Ru (0.5000, 0.5000, 0.2074) (multiplicity 1)  4 Te 2.67, 4 In 2.94

Results
The uncorrected formation energy comes out at 0.044 eV per atom.

***

Entry from the Alexandria database: In2TeRu at its PBEsol-relaxed geometry (SCAN).

a = 5.7231 Å, b = 10.3138 Å, c = 3.4900 Å
α = 90.00°, β = 125.53°, γ = 90.00°
With the nearest neighbours (Å) after each atom.
Space group C2/m (No. 12)
One atom of each set of equivalent atoms:
In (0.2500, 0.2500, 0.0000) (multiplicity 4)  4 In 2.86-2.96, 2 Ru 2.97, 2 Te 2.97
Te (0.0000, 0.0000, 0.5000) (multiplicity 2)  4 Ru 2.86-2.96, 4 In 2.97
Ru (0.0000, 0.5000, 0.5000) (multiplicity 2)  4 Te 2.86-2.96, 4 In 2.97

Results
The uncorrected formation energy comes out at 0.411 eV per atom.

***

Number 1: E -270.05 eV/cell. Number 2: E -548.81 eV/cell. Number 3: E -549.24 eV/cell. Number 4: E -137.20 eV/cell. Number 5: E -142.54 eV/cell. Number 6: E -274.41 eV/cell.